(1)
AgPIO2 after structural relaxation. Source: Alexandria, functional PBE.

Lattice parameters (Å, degrees): 3.7474 3.7474 6.4299 90.00 90.00 90.00
With the nearest neighbours (Å) after each atom.
Positions (direct):
Ag 0.0000 0.0000 0.0000  4 I 2.65
P 0.5000 0.5000 0.5000  4 O 1.87
I 0.5000 0.5000 0.0000  4 Ag 2.65
O 0.0000 0.5000 0.5000  2 P 1.87
O 0.5000 0.0000 0.5000  2 P 1.87

Computed properties:
As for the formation energy (no corrections): -0.1784 eV/atom. As for the space group: P4/mmm (123). For the density of states at the Fermi level, the calculation gives 1.7 states/eV/cell. For the energy, the calculation gives -4.124 eV/atom.

(2)
PmPr4Er10 after structural relaxation. Source: Alexandria, functional PBE.

Lattice parameters (Å, degrees): 8.9124 8.9124 8.9124 101.63 101.63 126.64
With the nearest neighbours (Å) after each atom.
Positions (direct):
Pm 0.0000 0.0000 0.0000  8 Er 3.33, 4 Pr 3.62
Pr 0.2271 0.2271 0.4541  8 Er 3.49-3.56, 1 Pm 3.62
Pr 0.2271 0.7729 0.0000  8 Er 3.49-3.56, 1 Pm 3.62
Pr 0.7729 0.2271 0.0000  8 Er 3.49-3.56, 1 Pm 3.62
Pr 0.7729 0.7729 0.5459  8 Er 3.49-3.56, 1 Pm 3.62
Er 0.0879 0.2956 0.7923  4 Er 3.27-3.31, 1 Pm 3.33, 4 Pr 3.49-3.56
Er 0.2500 0.7500 0.5000  4 Er 3.31
Er 0.2956 0.0879 0.7923  4 Er 3.27-3.31, 1 Pm 3.33, 4 Pr 3.49-3.56
Er 0.2956 0.5032 0.2077  4 Er 3.27-3.31, 1 Pm 3.33, 4 Pr 3.49-3.56
Er 0.4968 0.7044 0.7923  4 Er 3.27-3.31, 1 Pm 3.33, 4 Pr 3.49-3.56
Er 0.5032 0.2956 0.2077  4 Er 3.27-3.31, 1 Pm 3.33, 4 Pr 3.49-3.56
Er 0.7044 0.4968 0.7923  4 Er 3.27-3.31, 1 Pm 3.33, 4 Pr 3.49-3.56
Er 0.7044 0.9121 0.2077  4 Er 3.27-3.31, 1 Pm 3.33, 4 Pr 3.49-3.56
Er 0.7500 0.2500 0.5000  4 Er 3.31
Er 0.9121 0.7044 0.2077  4 Er 3.27-3.31, 1 Pm 3.33, 4 Pr 3.49-3.56

Computed properties:
As for the space group: I4/mmm (139). For the energy relative to the elements, the calculation gives 26 kJ/mol of atoms. For the density of states at the Fermi level, the calculation gives 19.4 states/eV/cell. For the energy, the calculation gives -4.360 eV/atom.

(3)
Pu3In5O12 after structural relaxation. Source: Alexandria, functional PBE.

Lattice parameters (Å, degrees): 11.5382 11.5382 11.5382 109.47 109.47 109.47
With the nearest neighbours (Å) after each atom.
Positions (direct):
Pu 0.1250 0.2500 0.3750  8 O 2.50-2.53
Pu 0.1250 0.3750 0.7500  8 O 2.50-2.53
Pu 0.2500 0.3750 0.1250  8 O 2.50-2.53
Pu 0.2500 0.8750 0.6250  8 O 2.50-2.53
Pu 0.3750 0.1250 0.2500  8 O 2.50-2.53
Pu 0.3750 0.7500 0.1250  8 O 2.50-2.53
Pu 0.6250 0.2500 0.8750  8 O 2.50-2.53
Pu 0.6250 0.8750 0.7500  8 O 2.50-2.53
Pu 0.7500 0.1250 0.3750  8 O 2.50-2.53
Pu 0.7500 0.6250 0.8750  8 O 2.50-2.53
Pu 0.8750 0.6250 0.2500  8 O 2.50-2.53
Pu 0.8750 0.7500 0.6250  8 O 2.50-2.53
In 0.0000 0.0000 0.0000  6 O 2.21
In 0.0000 0.0000 0.5000  6 O 2.21
In 0.0000 0.5000 0.0000  6 O 2.21
In 0.0000 0.5000 0.5000  6 O 2.21
In 0.1250 0.7500 0.8750  4 O 2.07
In 0.1250 0.8750 0.2500  4 O 2.07
In 0.2500 0.1250 0.8750  4 O 2.07
In 0.2500 0.6250 0.3750  4 O 2.07
In 0.3750 0.2500 0.6250  4 O 2.07
In 0.3750 0.6250 0.7500  4 O 2.07
In 0.5000 0.0000 0.0000  6 O 2.21
In 0.5000 0.0000 0.5000  6 O 2.21
In 0.5000 0.5000 0.0000  6 O 2.21
In 0.5000 0.5000 0.5000  6 O 2.21
In 0.6250 0.3750 0.2500  4 O 2.07
In 0.6250 0.7500 0.3750  4 O 2.07
In 0.7500 0.3750 0.6250  4 O 2.07
In 0.7500 0.8750 0.1250  4 O 2.07
In 0.8750 0.1250 0.7500  4 O 2.07
In 0.8750 0.2500 0.1250  4 O 2.07
O 0.0413 0.2149 0.1303  2 In 2.07-2.21
O 0.0413 0.3264 0.9110  2 In 2.07-2.21
O 0.0846 0.7149 0.6736  2 In 2.07-2.21
O 0.0846 0.8697 0.4110  2 In 2.07-2.21
O 0.0890 0.6303 0.4154  2 In 2.07-2.21
O 0.0890 0.9587 0.6736  2 In 2.07-2.21
O 0.1303 0.0413 0.2149  2 In 2.07-2.21
O 0.1303 0.5890 0.9154  2 In 2.07-2.21
O 0.1736 0.2149 0.5846  2 In 2.07-2.21
O 0.1736 0.4587 0.5890  2 In 2.07-2.21
O 0.2149 0.1303 0.0413  2 In 2.07-2.21
O 0.2149 0.5846 0.1736  2 In 2.07-2.21
O 0.2851 0.3264 0.9154  2 In 2.07-2.21
O 0.2851 0.4587 0.3697  2 In 2.07-2.21
O 0.3264 0.9110 0.0413  2 In 2.07-2.21
O 0.3264 0.9154 0.2851  2 In 2.07-2.21
O 0.3697 0.2851 0.4587  2 In 2.07-2.21
O 0.3697 0.5846 0.9110  2 In 2.07-2.21
O 0.4110 0.0846 0.8697  2 In 2.07-2.21
O 0.4110 0.8264 0.5413  2 In 2.07-2.21
O 0.4154 0.0890 0.6303  2 In 2.07-2.21
O 0.4154 0.8264 0.7851  2 In 2.07-2.21
O 0.4587 0.3697 0.2851  2 In 2.07-2.21
O 0.4587 0.5890 0.1736  2 In 2.07-2.21
O 0.5413 0.4110 0.8264  2 In 2.07-2.21
O 0.5413 0.6303 0.7149  2 In 2.07-2.21
O 0.5846 0.1736 0.2149  2 In 2.07-2.21
O 0.5846 0.9110 0.3697  2 In 2.07-2.21
O 0.5890 0.1736 0.4587  2 In 2.07-2.21
O 0.5890 0.9154 0.1303  2 In 2.07-2.21
O 0.6303 0.4154 0.0890  2 In 2.07-2.21
O 0.6303 0.7149 0.5413  2 In 2.07-2.21
O 0.6736 0.0846 0.7149  2 In 2.07-2.21
O 0.6736 0.0890 0.9587  2 In 2.07-2.21
O 0.7149 0.5413 0.6303  2 In 2.07-2.21
O 0.7149 0.6736 0.0846  2 In 2.07-2.21
O 0.7851 0.4154 0.8264  2 In 2.07-2.21
O 0.7851 0.8697 0.9587  2 In 2.07-2.21
O 0.8264 0.5413 0.4110  2 In 2.07-2.21
O 0.8264 0.7851 0.4154  2 In 2.07-2.21
O 0.8697 0.4110 0.0846  2 In 2.07-2.21
O 0.8697 0.9587 0.7851  2 In 2.07-2.21
O 0.9110 0.0413 0.3264  2 In 2.07-2.21
O 0.9110 0.3697 0.5846  2 In 2.07-2.21
O 0.9154 0.1303 0.5890  2 In 2.07-2.21
O 0.9154 0.2851 0.3264  2 In 2.07-2.21
O 0.9587 0.6736 0.0890  2 In 2.07-2.21
O 0.9587 0.7851 0.8697  2 In 2.07-2.21

Computed properties:
As for the formation energy (no corrections): -1.9944 eV/atom. As for the space group: Ia-3d (230). For the density of states at the Fermi level, the calculation gives 105.8 states/eV/cell. For the energy, the calculation gives -7.804 eV/atom.

(4)
Sm2Zn3CrNi12 after structural relaxation. Source: Alexandria, functional PBE.

Lattice parameters (Å, degrees): 9.1592 9.1592 9.1592 38.52 38.52 38.52
With the nearest neighbours (Å) after each atom.
Positions (direct):
Sm 0.1529 0.1529 0.1529  6 Ni 2.90-2.91
Sm 0.8471 0.8471 0.8471  6 Ni 2.90-2.91
Zn 0.0000 0.5000 0.5000  6 Ni 2.36-2.51
Zn 0.5000 0.0000 0.5000  6 Ni 2.36-2.51
Zn 0.5000 0.5000 0.0000  6 Ni 2.36-2.51
Cr 0.5000 0.5000 0.5000  6 Ni 2.28
Ni 0.0787 0.0787 0.6868  2 Zn 2.36, 4 Ni 2.37-2.38
Ni 0.0787 0.6868 0.0787  2 Zn 2.36, 4 Ni 2.37-2.38
Ni 0.1502 0.5722 0.5722  1 Cr 2.28, 4 Ni 2.38-2.55, 1 Zn 2.51
Ni 0.3132 0.9213 0.9213  2 Zn 2.36, 4 Ni 2.37-2.38
Ni 0.4278 0.4278 0.8498  1 Cr 2.28, 4 Ni 2.38-2.55, 1 Zn 2.51
Ni 0.4278 0.8498 0.4278  1 Cr 2.28, 4 Ni 2.38-2.55, 1 Zn 2.51
Ni 0.5722 0.1502 0.5722  1 Cr 2.28, 4 Ni 2.38-2.55, 1 Zn 2.51
Ni 0.5722 0.5722 0.1502  1 Cr 2.28, 4 Ni 2.38-2.55, 1 Zn 2.51
Ni 0.6868 0.0787 0.0787  2 Zn 2.36, 4 Ni 2.37-2.38
Ni 0.8498 0.4278 0.4278  1 Cr 2.28, 4 Ni 2.38-2.55, 1 Zn 2.51
Ni 0.9213 0.3132 0.9213  2 Zn 2.36, 4 Ni 2.37-2.38
Ni 0.9213 0.9213 0.3132  2 Zn 2.36, 4 Ni 2.37-2.38

Computed properties:
As for the space group: R-3m (166). For the energy relative to the elements, the calculation gives 13 kJ/mol of atoms. For the density of states at the Fermi level, the calculation gives 18.7 states/eV/cell. For the energy, the calculation gives -4.992 eV/atom.

(5)
SrTlCuAgRh after structural relaxation. Source: Alexandria, functional PBE.

Lattice parameters (Å, degrees): 6.6231 6.6231 6.6231 142.20 140.52 55.81
With the nearest neighbours (Å) after each atom.
Positions (direct):
Sr 0.0000 0.0000 0.0000  4 Rh 3.29, 4 Cu 3.37, 2 Ag 3.55, 2 Tl 3.62
Tl 0.2571 0.7571 0.5000  2 Rh 2.76, 2 Cu 2.79
Cu 0.6140 0.6140 0.0000  1 Rh 2.44, 2 Ag 2.73
Ag 0.7585 0.2585 0.5000  2 Cu 2.73, 2 Rh 2.82
Rh 0.4054 0.4054 0.0000  1 Cu 2.44

Computed properties:
As for the space group: Imm2 (44). For the energy relative to the elements, the calculation gives -8 kJ/mol of atoms. For the density of states at the Fermi level, the calculation gives 1.6 states/eV/cell. For the energy, the calculation gives -3.753 eV/atom.

(6)
Tb2YAg3Se6 after structural relaxation. Source: Alexandria, functional PBE.

Lattice parameters (Å, degrees): 9.0843 9.0843 8.0827 99.84 99.84 26.66
With the nearest neighbours (Å) after each atom.
Positions (direct):
Tb 0.1670 0.1670 0.3297  6 Se 2.90
Tb 0.8330 0.8330 0.6703  6 Se 2.90
Y 0.5000 0.5000 0.0000  6 Se 2.89
Ag 0.1689 0.1689 0.8254  6 Se 2.89-2.95
Ag 0.5000 0.5000 0.5000  6 Se 2.91-2.93
Ag 0.8311 0.8311 0.1746  6 Se 2.89-2.95
Se 0.0007 0.0007 0.2468  2 Y 2.89, 1 Tb 2.90, 3 Ag 2.93-2.95
Se 0.3331 0.3331 0.4220  3 Ag 2.89-2.91, 3 Tb 2.90
Se 0.3344 0.3344 0.9181  1 Y 2.89, 3 Ag 2.89-2.95, 2 Tb 2.90
Se 0.6656 0.6656 0.0819  1 Y 2.89, 3 Ag 2.89-2.95, 2 Tb 2.90
Se 0.6669 0.6669 0.5780  3 Ag 2.89-2.91, 3 Tb 2.90
Se 0.9993 0.9993 0.7532  2 Y 2.89, 1 Tb 2.90, 3 Ag 2.93-2.95

Computed properties:
As for the formation energy (no corrections): -1.1694 eV/atom. As for the space group: C2/m (12). For the density of states at the Fermi level, the calculation gives 0.0 states/eV/cell. For the energy, the calculation gives -4.935 eV/atom.

(7)
Sm2Te5 after structural relaxation. Source: Alexandria, functional PBE.

Lattice parameters (Å, degrees): 22.7532 22.7532 4.4141 90.00 90.00 168.87
With the nearest neighbours (Å) after each atom.
Positions (direct):
Sm 0.1022 0.8978 0.7500  9 Te 3.26-3.36
Sm 0.3055 0.6945 0.7500  9 Te 3.23-3.35
Sm 0.6945 0.3055 0.2500  9 Te 3.23-3.35
Sm 0.8978 0.1022 0.2500  9 Te 3.26-3.36
Te 0.0464 0.9536 0.2500  4 Te 3.12, 2 Sm 3.35
Te 0.1746 0.8254 0.7500  5 Sm 3.25-3.28
Te 0.2500 0.7500 0.2500  4 Te 3.12, 4 Sm 3.34-3.35
Te 0.3769 0.6231 0.7500  5 Sm 3.23-3.26
Te 0.4536 0.5464 0.2500  4 Te 3.12, 2 Sm 3.36
Te 0.5464 0.4536 0.7500  4 Te 3.12, 2 Sm 3.36
Te 0.6231 0.3769 0.2500  5 Sm 3.23-3.26
Te 0.7500 0.2500 0.7500  4 Te 3.12, 4 Sm 3.34-3.35
Te 0.8254 0.1746 0.2500  5 Sm 3.25-3.28
Te 0.9536 0.0464 0.7500  4 Te 3.12, 2 Sm 3.35

Computed properties:
As for the formation energy (no corrections): -1.0873 eV/atom. As for the space group: Cmcm (63). For the density of states at the Fermi level, the calculation gives 3.6 states/eV/cell. For the energy, the calculation gives -4.680 eV/atom.

(8)
V5ReSi5 after structural relaxation. Source: Alexandria, functional PBE.

Lattice parameters (Å, degrees): 6.0931 6.0931 6.3766 105.79 105.79 44.66
With the nearest neighbours (Å) after each atom.
Positions (direct):
V 0.0000 0.0000 0.0000  4 V 2.77, 4 Si 2.78-2.89
V 0.3531 0.3531 0.1318  4 Si 2.40-2.44, 1 V 2.43
V 0.3981 0.3981 0.7820  2 Si 2.40-2.42, 1 V 2.43
V 0.6019 0.6019 0.2180  2 Si 2.40-2.42, 1 V 2.43
V 0.6469 0.6469 0.8682  4 Si 2.40-2.44, 1 V 2.43
Re 0.0000 0.0000 0.5000  6 Si 2.31-2.54
Si 0.1861 0.1861 0.7952  1 Re 2.37, 4 V 2.40-2.43, 1 Si 2.57
Si 0.2027 0.2027 0.4015  1 Re 2.54, 3 Si 2.57-2.70, 4 V 2.69-2.76
Si 0.5000 0.5000 0.5000  2 Re 2.31, 4 V 2.40-2.44
Si 0.7973 0.7973 0.5985  1 Re 2.54, 3 Si 2.57-2.70, 4 V 2.69-2.76
Si 0.8139 0.8139 0.2048  1 Re 2.37, 4 V 2.40-2.43, 1 Si 2.57

Computed properties:
As for the formation energy (no corrections): 0.0666 eV/atom. As for the space group: C2/m (12). For the density of states at the Fermi level, the calculation gives 7.1 states/eV/cell. For the energy, the calculation gives -7.675 eV/atom.